# 1
# LaIr3

A geometry-optimized LaIr3 structure (PBE-GGA, Alexandria via LeMat-Bulk).

```
LaIr3
1.0
5.336 0.000 0.000
0.000 5.336 0.000
0.000 0.000 5.336
La Ir
2 6
direct
0.000 0.000 0.000 La
0.500 0.500 0.500 La
0.000 0.250 0.500 Ir
0.000 0.750 0.500 Ir
0.250 0.500 0.000 Ir
0.500 0.000 0.250 Ir
0.500 0.000 0.750 Ir
0.750 0.500 0.000 Ir
```

Properties
space-group type	Pm-3n, No. 223
ΔE_f	0.43	eV/atom

=====

# 2
# Mg3TeC

A geometry-optimized Mg3TeC structure (PBE-GGA, Alexandria via LeMat-Bulk).

```
Mg3TeC
1.0
4.501 0.000 0.000
0.000 4.501 0.000
0.000 0.000 4.501
Mg Te C
3 1 1
direct
0.000 0.000 0.500 Mg
0.000 0.500 0.000 Mg
0.500 0.000 0.000 Mg
0.500 0.500 0.500 Te
0.000 0.000 0.000 C
```

Properties
formation energy without anion corrections	-0.2389	eV/atom
space-group type	Pm-3m, No. 221
relative energy among the computed polymorphs	0.000	eV/atom

=====

# 3
# K2CuPt

A geometry-optimized K2CuPt structure (PBE-GGA, Alexandria via LeMat-Bulk).

```
K2CuPt
1.0
6.140 -1.496 0.000
6.140 1.496 0.000
-1.660 0.000 5.683
K Cu Pt
2 1 1
direct
0.000 0.000 0.000 K
0.194 0.194 0.616 K
0.783 0.783 0.191 Cu
0.431 0.431 0.459 Pt
```

Properties
space-group type	Cm, No. 8
relative energy among the computed polymorphs	0.102	eV/atom
ΔE_f	0.17	eV/atom

=====

# 4
# K2Tl3O6

A geometry-optimized K2Tl3O6 structure (PBE-GGA, Alexandria via LeMat-Bulk).

```
K2Tl3O6
1.0
3.002 -5.146 0.000
3.002 5.146 0.000
-2.033 0.000 6.372
K Tl O
2 3 6
direct
0.168 0.832 0.000 K
0.832 0.168 0.000 K
0.000 0.000 0.500 Tl
0.334 0.666 0.500 Tl
0.666 0.334 0.500 Tl
0.053 0.394 0.688 O
0.268 0.268 0.318 O
0.394 0.053 0.688 O
0.606 0.947 0.312 O
0.732 0.732 0.682 O
0.947 0.606 0.312 O
```

Properties
formation energy without anion corrections	-0.8389	eV/atom
space-group type	C2/m, No. 12

=====

Calculated values (eV per cell) of total DFT energy (no corrections) for the records, taken in order: -59.599, -18.344, -11.637, -48.271.